Density functional theory data (PBE) for a relaxed structure of Te2OsICl.

Cell lengths 5.460, 5.460, 5.393 Å; angles 90.00, 90.00, 90.00 degrees
Space group P4/mmm (No. 123)
Symmetry-distinct sites (fractional):
Te (0.000, 0.500, 0.000) [2 per cell]
Os (0.000, 0.000, 0.500) [1 per cell]
I (0.500, 0.500, 0.500) [1 per cell]
Cl (0.500, 0.500, 0.000) [1 per cell]

Results
Offset from the most stable computed form: 1.288 eV/atom
Energy relative to the elements, uncorrected: 42.3 kcal/mol of atoms
Raw total energy: -2.35 eV per atom
Total magnetic moment: 4.666 μB per formula unit